(1)
Below is an optimized crystal structure of CoAsS, with properties calculated at the PBE-GGA level.

a b c (Å): 5.581 5.581 5.581
angles (deg): 90.00 90.00 90.00
Sites, in units of the cell vectors:
Co: 0.508 0.492 0.992
Co: 0.492 0.992 0.508
Co: 0.008 0.008 0.008
Co: 0.992 0.508 0.492
As: 0.622 0.878 0.122
As: 0.122 0.622 0.878
As: 0.378 0.378 0.378
As: 0.878 0.122 0.622
S: 0.381 0.119 0.881
S: 0.881 0.381 0.119
S: 0.119 0.881 0.381
S: 0.619 0.619 0.619

Properties
Uncorrected energy in eV per atom: -5.7354
Uncorrected formation energy in eV/atom: -0.4411
Relative energy among the computed polymorphs in meV per atom: 4

(2)
Below is an optimized crystal structure of CoAsS, with properties calculated at the PBE-GGA level.

a b c (Å): 3.489 4.603 5.573
angles (deg): 90.00 90.00 90.00
Sites, in units of the cell vectors:
Co: 0.500 0.736 0.497
Co: 0.000 0.264 0.997
As: 0.000 0.040 0.372
As: 0.500 0.960 0.872
S: 0.500 0.549 0.125
S: 0.000 0.451 0.625

Properties
Uncorrected energy in eV per atom: -5.7394
Uncorrected formation energy in eV/atom: -0.4451
Relative energy among the computed polymorphs in meV per atom: 0
DOS(E_F) in states/eV/atom: 0.0510

(3)
Below is an optimized crystal structure of CoAsS2, with properties calculated at the PBE-GGA level.

a b c (Å): 5.486 5.486 6.436
angles (deg): 64.77 64.77 90.00
Sites, in units of the cell vectors:
As: 0.000 0.000 0.000
As: 0.750 0.250 0.500
Co: 0.500 0.500 0.000
Co: 0.250 0.750 0.500
S: 0.563 0.125 0.250
S: 0.187 0.625 0.250
S: 0.375 0.437 0.750
S: 0.875 0.813 0.750

Properties
Uncorrected energy in eV per atom: -4.9626
Uncorrected formation energy in eV/atom: 0.0399
DOS(E_F) in states/eV/atom: 0.8844

(4)
Below is an optimized crystal structure of CoAs3S, with properties calculated at the PBE-GGA level.

a b c (Å): 4.566 4.566 4.566
angles (deg): 90.00 90.00 90.00
Sites, in units of the cell vectors:
As: 0.000 0.500 0.000
As: 0.000 0.000 0.500
As: 0.500 0.000 0.000
Co: 0.000 0.000 0.000
S: 0.500 0.500 0.500

Properties
Uncorrected energy in eV per atom: -4.5189
Uncorrected formation energy in eV/atom: 0.5175
Relative energy among the computed polymorphs in meV per atom: 0
DOS(E_F) in states/eV/atom: 0.8896

(5)
Below is an optimized crystal structure of CoAsS, with properties calculated at the PBE-GGA level.

a b c (Å): 5.577 5.582 5.587
angles (deg): 90.00 90.00 90.00
Sites, in units of the cell vectors:
Co: 0.501 0.493 0.239
Co: 0.501 0.993 0.761
Co: 0.001 0.007 0.239
Co: 0.001 0.507 0.761
As: 0.383 0.879 0.371
As: 0.883 0.621 0.371
As: 0.383 0.379 0.629
As: 0.883 0.121 0.629
S: 0.623 0.119 0.129
S: 0.123 0.381 0.129
S: 0.123 0.881 0.871
S: 0.623 0.619 0.871

Properties
Uncorrected energy in eV per atom: -5.7389
Uncorrected formation energy in eV/atom: -0.4446
Relative energy among the computed polymorphs in meV per atom: 0

(6)
Below is an optimized crystal structure of CoAsS, with properties calculated at the PBE-GGA level.

a b c (Å): 5.610 5.577 5.616
angles (deg): 87.51 90.00 90.00
Sites, in units of the cell vectors:
Co: 0.500 0.500 0.000
Co: 0.500 0.000 0.500
Co: 0.000 0.000 0.000
Co: 0.000 0.500 0.500
As: 0.124 0.623 0.872
As: 0.876 0.377 0.128
As: 0.376 0.623 0.372
As: 0.624 0.377 0.628
S: 0.382 0.126 0.114
S: 0.618 0.874 0.886
S: 0.882 0.874 0.386
S: 0.118 0.126 0.614

Properties
Uncorrected energy in eV per atom: -5.5411
Uncorrected formation energy in eV/atom: -0.2469
Relative energy among the computed polymorphs in meV per atom: 198
DOS(E_F) in states/eV/atom: 0.2965